The following is a PBE calculation of a geometry-optimized CaYZr3 structure, from the Alexandria database.

abc: 5.361 5.361 5.361
angles: 90.00 90.00 90.00
Fractional positions:
Ca 0.000 0.000 0.000
Y 0.500 0.500 0.500
Zr 0.000 0.500 0.500
Zr 0.500 0.000 0.500
Zr 0.500 0.500 0.000

Results
Polymorph energy (0 for the lowest one)   0 meV/atom
SG   No. 221

=====

The following is a PBE calculation of a geometry-optimized ErPaCdTc structure, from the Alexandria database.

abc: 5.033 5.033 5.033
angles: 60.00 60.00 60.00
Fractional positions:
Er 0.000 0.000 0.000
Pa 0.500 0.500 0.500
Cd 0.250 0.250 0.250
Tc 0.750 0.750 0.750

Results
Uncorrected energy   -6.30 eV per atom
SG   No. 216

=====

The following is a PBE calculation of a geometry-optimized Li2Pr2Pb3 structure, from the Alexandria database.

abc: 10.549 10.549 7.533
angles: 90.00 90.00 153.63
Fractional positions:
Li 0.198 0.802 0.562
Li 0.198 0.802 0.938
Li 0.802 0.198 0.062
Li 0.802 0.198 0.438
Pr 0.343 0.657 0.750
Pr 0.453 0.547 0.250
Pr 0.547 0.453 0.750
Pr 0.657 0.343 0.250
Pb 0.071 0.929 0.046
Pb 0.071 0.929 0.454
Pb 0.281 0.719 0.250
Pb 0.719 0.281 0.750
Pb 0.929 0.071 0.546
Pb 0.929 0.071 0.954

Results
Uncorrected energy   -3.99 eV per atom
SG   No. 63

=====

Which formula does entry 1 have? CaYZr3